Zn2TeCl after structural relaxation. Source: Alexandria, functional PBE.

Output
Its total moment is 0.000 μB per atom. The value obtained for the uncorrected formation energy is -0.002 eV per atom. For the density, the calculation gives 5.5 g/cm3.

```
data_Zn2TeCl
_symmetry_space_group_name_H-M 'P 4/m m m'
_symmetry_Int_Tables_number 123
_symmetry_space_group_name_Hall '-P 4 2'
_cell_length_a 3.547
_cell_length_b 3.547
_cell_length_c 7.053
_cell_angle_alpha 90.00
_cell_angle_beta 90.00
_cell_angle_gamma 90.00
loop_
_atom_site_label
_atom_site_fract_x
_atom_site_fract_y
_atom_site_fract_z
Zn1 0.000 0.000 0.231
Te1 0.500 0.500 0.000
Cl1 0.500 0.500 0.500
```



ZnTe2Cl after structural relaxation. Source: Alexandria, functional PBE.

Output
Its total moment is 0.000 μB per atom. The value obtained for the uncorrected formation energy is -0.041 eV per atom. For the density, the calculation gives 5.9 g/cm3.

```
data_ZnTe2Cl
_symmetry_space_group_name_H-M 'P 4/m m m'
_symmetry_Int_Tables_number 123
_symmetry_space_group_name_Hall '-P 4 2'
_cell_length_a 3.668
_cell_length_b 3.668
_cell_length_c 7.450
_cell_angle_alpha 90.00
_cell_angle_beta 90.00
_cell_angle_gamma 90.00
loop_
_atom_site_label
_atom_site_fract_x
_atom_site_fract_y
_atom_site_fract_z
Zn1 0.000 0.000 0.000
Te1 0.500 0.500 0.192
Cl1 0.000 0.000 0.500
```



Zn2TeCl after structural relaxation. Source: Alexandria, functional PBE.

Output
Its total moment is 0.000 μB per atom. The value obtained for the uncorrected formation energy is 0.176 eV per atom. For the density, the calculation gives 5.4 g/cm3.

```
data_Zn2TeCl
_symmetry_space_group_name_H-M 'P m m m'
_symmetry_Int_Tables_number 47
_cell_length_a 3.131
_cell_length_b 4.952
_cell_length_c 5.781
_cell_angle_alpha 90.00
_cell_angle_beta 90.00
_cell_angle_gamma 90.00
loop_
_symmetry_equiv_pos_as_xyz
'x,y,z'
'-x,-y,-z'
'-x,-y,z'
'x,y,-z'
'x,-y,-z'
'-x,y,z'
'-x,y,-z'
'x,-y,z'
loop_
_atom_site_label
_atom_site_fract_x
_atom_site_fract_y
_atom_site_fract_z
Zn1 0.000 0.000 0.000
Zn2 0.500 0.500 0.000
Te1 0.000 0.500 0.500
Cl1 0.500 0.000 0.500
```